[1]
! Mn8Rh | Alexandria | PBE-GGA | relaxed; values from VASP
! - E_tot: -8.91 eV per atom
&SYSTEM
  ibrav = 0, nat = 9, ntyp = 2
/
ATOMIC_SPECIES
Mn 54.94 Mn.upf
Rh 102.91 Rh.upf
ATOMIC_POSITIONS crystal
Mn 0.000 0.340 0.340
Mn 0.000 0.660 0.660
Mn 0.331 0.331 0.662
Mn 0.331 0.669 0.000
Mn 0.340 0.000 0.340
Mn 0.660 0.000 0.660
Mn 0.669 0.331 0.000
Mn 0.669 0.669 0.338
Rh 0.000 0.000 0.000
CELL_PARAMETERS angstrom
-3.915 3.915 1.762
3.915 -3.915 1.762
3.915 3.915 -1.762

***

[2]
! Pu2MnAl3 | Alexandria | PBE-GGA | relaxed; values from VASP
! - E_tot: -8.39 eV per atom
&SYSTEM
  ibrav = 0, nat = 6, ntyp = 3
/
ATOMIC_SPECIES
Pu 244.00 Pu.upf
Mn 54.94 Mn.upf
Al 26.98 Al.upf
ATOMIC_POSITIONS crystal
Pu 0.121 0.121 0.121
Pu 0.879 0.879 0.879
Mn 0.500 0.500 0.500
Al 0.000 0.500 0.500
Al 0.500 0.000 0.500
Al 0.500 0.500 0.000
CELL_PARAMETERS angstrom
2.794 1.613 4.273
-2.794 1.613 4.273
0.000 -3.227 4.273

***

[3]
! PrAl6Pd3 | Alexandria | PBE-GGA | relaxed; values from VASP
! - E_tot: -4.82 eV per atom
&SYSTEM
  ibrav = 0, nat = 20, ntyp = 3
/
ATOMIC_SPECIES
Pr 140.91 Pr.upf
Al 26.98 Al.upf
Pd 106.42 Pd.upf
ATOMIC_POSITIONS crystal
Pr 0.026 0.250 0.217
Pr 0.974 0.750 0.783
Al 0.098 0.750 0.479
Al 0.202 0.250 0.670
Al 0.203 0.250 0.939
Al 0.365 0.250 0.206
Al 0.417 0.750 0.569
Al 0.493 0.750 0.089
Al 0.507 0.250 0.911
Al 0.583 0.250 0.431
Al 0.635 0.750 0.794
Al 0.797 0.750 0.061
Al 0.798 0.750 0.330
Al 0.902 0.250 0.521
Pd 0.222 0.750 0.083
Pd 0.303 0.250 0.447
Pd 0.353 0.750 0.821
Pd 0.647 0.250 0.179
Pd 0.697 0.750 0.553
Pd 0.778 0.250 0.917
CELL_PARAMETERS angstrom
9.159 0.000 0.000
0.000 4.148 0.000
-1.752 0.000 9.832

***

[4]
! Pr2NiGePt6 | Alexandria | PBE-GGA | relaxed; values from VASP
! - E_tot: -6.34 eV per atom
&SYSTEM
  ibrav = 0, nat = 10, ntyp = 4
/
ATOMIC_SPECIES
Pr 140.91 Pr.upf
Ni 58.69 Ni.upf
Ge 72.64 Ge.upf
Pt 195.08 Pt.upf
ATOMIC_POSITIONS crystal
Pr 0.237 0.237 0.202
Pr 0.763 0.763 0.798
Ni 0.500 0.500 0.000
Ge 0.000 0.000 0.500
Pt 0.249 0.740 0.248
Pt 0.252 0.252 0.606
Pt 0.260 0.751 0.752
Pt 0.740 0.249 0.248
Pt 0.748 0.748 0.394
Pt 0.751 0.260 0.752
CELL_PARAMETERS angstrom
5.994 -2.733 0.000
5.994 2.733 0.000
-5.780 0.000 6.141

***

[5]
! Nd2SiNi4 | Alexandria | PBE-GGA | relaxed; values from VASP
! - Uncorrected formation energy: -0.282 eV per atom
&SYSTEM
  ibrav = 0, nat = 7, ntyp = 3
/
ATOMIC_SPECIES
Nd 144.24 Nd.upf
Si 28.09 Si.upf
Ni 58.69 Ni.upf
ATOMIC_POSITIONS crystal
Nd 0.000 0.000 0.500
Nd 0.500 0.500 0.000
Si 0.262 0.262 0.738
Ni 0.518 0.981 0.019
Ni 0.560 0.943 0.440
Ni 0.943 0.560 0.057
Ni 0.981 0.518 0.482
CELL_PARAMETERS angstrom
0.000 4.095 4.326
3.704 0.000 4.326
3.704 4.095 0.000

***

[6]
! TiHg2I8 | Alexandria | PBE-GGA | relaxed; values from VASP
! - Uncorrected formation energy: -0.415 eV per atom
&SYSTEM
  ibrav = 0, nat = 11, ntyp = 3
/
ATOMIC_SPECIES
Ti 47.87 Ti.upf
Hg 200.59 Hg.upf
I 126.90 I.upf
ATOMIC_POSITIONS crystal
Ti 0.000 0.000 0.000
Hg 0.176 0.176 0.440
Hg 0.824 0.824 0.560
I 0.160 0.160 0.836
I 0.163 0.719 0.758
I 0.281 0.837 0.242
I 0.334 0.334 0.309
I 0.666 0.666 0.691
I 0.719 0.163 0.758
I 0.837 0.281 0.242
I 0.840 0.840 0.164
CELL_PARAMETERS angstrom
7.900 -4.461 0.000
7.900 4.461 0.000
-0.316 0.000 7.078

***

[7]
! As2IrPt | Alexandria | PBE-GGA | relaxed; values from VASP
! - ΔE to the lowest computed polymorph: 1.11 eV per formula unit
&SYSTEM
  ibrav = 0, nat = 4, ntyp = 3
/
ATOMIC_SPECIES
As 74.92 As.upf
Ir 192.22 Ir.upf
Pt 195.08 Pt.upf
ATOMIC_POSITIONS crystal
As 0.000 0.000 0.000
As 0.750 0.250 0.500
Ir 0.250 0.750 0.500
Pt 0.500 0.500 0.000
CELL_PARAMETERS angstrom
-1.925 1.925 4.341
1.925 -1.925 4.341
1.925 1.925 -4.341

***

[8]
! Sc4Hg3Ru | Alexandria | PBE-GGA | relaxed; values from VASP
! - E_tot: -4.93 eV per atom
&SYSTEM
  ibrav = 0, nat = 8, ntyp = 3
/
ATOMIC_SPECIES
Sc 44.96 Sc.upf
Hg 200.59 Hg.upf
Ru 101.07 Ru.upf
ATOMIC_POSITIONS crystal
Sc 0.000 0.000 0.103
Sc 0.000 0.000 0.368
Sc 0.000 0.000 0.632
Sc 0.000 0.000 0.897
Hg 0.500 0.500 0.237
Hg 0.500 0.500 0.500
Hg 0.500 0.500 0.763
Ru 0.500 0.500 0.000
CELL_PARAMETERS angstrom
3.332 0.000 0.000
0.000 3.332 0.000
0.000 0.000 14.730

***

[9]
! Er2Ga2GeRh5 | Alexandria | PBE-GGA | relaxed; values from VASP
! - E_tot: -6.47 eV per atom
&SYSTEM
  ibrav = 0, nat = 20, ntyp = 4
/
ATOMIC_SPECIES
Er 167.26 Er.upf
Ga 69.72 Ga.upf
Ge 72.64 Ge.upf
Rh 102.91 Rh.upf
ATOMIC_POSITIONS crystal
Er 0.172 0.328 0.000
Er 0.328 0.828 0.000
Er 0.672 0.172 0.000
Er 0.828 0.672 0.000
Ga 0.126 0.626 0.000
Ga 0.374 0.126 0.000
Ga 0.626 0.874 0.000
Ga 0.874 0.374 0.000
Ge 0.000 0.000 0.000
Ge 0.500 0.500 0.000
Rh 0.000 0.500 0.500
Rh 0.067 0.800 0.500
Rh 0.200 0.067 0.500
Rh 0.300 0.567 0.500
Rh 0.433 0.300 0.500
Rh 0.500 0.000 0.500
Rh 0.567 0.700 0.500
Rh 0.700 0.433 0.500
Rh 0.800 0.933 0.500
Rh 0.933 0.200 0.500
CELL_PARAMETERS angstrom
9.712 0.000 0.000
0.000 9.712 0.000
0.000 0.000 3.515

***

[10]
! Li3Pr2InNi12 | Alexandria | PBE-GGA | relaxed; values from VASP
! - E_tot: -4.72 eV per atom
&SYSTEM
  ibrav = 0, nat = 18, ntyp = 4
/
ATOMIC_SPECIES
Li 6.94 Li.upf
Pr 140.91 Pr.upf
In 114.82 In.upf
Ni 58.69 Ni.upf
ATOMIC_POSITIONS crystal
Li 0.000 0.500 0.500
Li 0.500 0.000 0.500
Li 0.500 0.500 0.000
Pr 0.137 0.137 0.137
Pr 0.863 0.863 0.863
In 0.500 0.500 0.500
Ni 0.035 0.630 0.630
Ni 0.085 0.085 0.702
Ni 0.085 0.702 0.085
Ni 0.298 0.915 0.915
Ni 0.370 0.370 0.965
Ni 0.370 0.965 0.370
Ni 0.630 0.035 0.630
Ni 0.630 0.630 0.035
Ni 0.702 0.085 0.085
Ni 0.915 0.298 0.915
Ni 0.915 0.915 0.298
Ni 0.965 0.370 0.370
CELL_PARAMETERS angstrom
3.032 1.750 8.781
-3.032 1.750 8.781
0.000 -3.501 8.781

***

[11]
! RePRhCl2 | Alexandria | PBE-GGA | relaxed; values from VASP
! - ΔE to the lowest computed polymorph: 0.72 eV per formula unit
! - Uncorrected formation energy: 1.108 eV per atom
&SYSTEM
  ibrav = 0, nat = 5, ntyp = 4
/
ATOMIC_SPECIES
Re 186.21 Re.upf
P 30.97 P.upf
Rh 102.91 Rh.upf
Cl 35.45 Cl.upf
ATOMIC_POSITIONS crystal
Re 0.000 0.000 0.000
P 0.500 0.500 0.000
Rh 0.500 0.500 0.500
Cl 0.000 0.500 0.500
Cl 0.500 0.000 0.500
CELL_PARAMETERS angstrom
4.716 0.000 0.000
0.000 4.716 0.000
0.000 0.000 4.754

***

[12]
! RbLi2As2 | Alexandria | PBE-GGA | relaxed; values from VASP
! - ΔE to the lowest computed polymorph: 0.00 eV per formula unit
&SYSTEM
  ibrav = 0, nat = 5, ntyp = 3
/
ATOMIC_SPECIES
Rb 85.47 Rb.upf
Li 6.94 Li.upf
As 74.92 As.upf
ATOMIC_POSITIONS crystal
Rb 0.000 0.000 0.000
Li 0.250 0.750 0.500
Li 0.750 0.250 0.500
As 0.381 0.381 0.000
As 0.619 0.619 0.000
CELL_PARAMETERS angstrom
-2.387 2.387 5.106
2.387 -2.387 5.106
2.387 2.387 -5.106

***

[13]
! La6HoHg | Alexandria | PBE-GGA | relaxed; values from VASP
! - ΔE to the lowest computed polymorph: 2.96 eV per formula unit
&SYSTEM
  ibrav = 0, nat = 8, ntyp = 3
/
ATOMIC_SPECIES
La 138.91 La.upf
Ho 164.93 Ho.upf
Hg 200.59 Hg.upf
ATOMIC_POSITIONS crystal
La 0.042 0.475 0.278
La 0.192 0.154 0.720
La 0.441 0.243 0.278
La 0.559 0.757 0.722
La 0.808 0.846 0.280
La 0.958 0.525 0.722
Ho 0.500 0.000 0.500
Hg 0.000 0.000 0.000
CELL_PARAMETERS angstrom
6.667 0.000 0.000
-3.325 5.801 0.000
-0.046 -3.813 8.286

***

[14]
! MnSeI2 | Alexandria | PBE-GGA | relaxed; values from VASP
! - ΔE to the lowest computed polymorph: 1.11 eV per formula unit
! - Uncorrected formation energy: 0.533 eV per atom
&SYSTEM
  ibrav = 0, nat = 4, ntyp = 3
/
ATOMIC_SPECIES
Mn 54.94 Mn.upf
Se 78.96 Se.upf
I 126.90 I.upf
ATOMIC_POSITIONS crystal
Mn 0.000 0.000 0.000
Se 0.500 0.500 0.500
I 0.250 0.250 0.250
I 0.750 0.750 0.750
CELL_PARAMETERS angstrom
0.000 3.768 3.768
3.768 0.000 3.768
3.768 3.768 0.000

***

[15]
! Ga2OsSe | Alexandria | PBE-GGA | relaxed; values from VASP
! - Uncorrected formation energy: 0.451 eV per atom
&SYSTEM
  ibrav = 0, nat = 8, ntyp = 3
/
ATOMIC_SPECIES
Ga 69.72 Ga.upf
Os 190.23 Os.upf
Se 78.96 Se.upf
ATOMIC_POSITIONS crystal
Ga 0.099 0.625 0.974
Ga 0.375 0.349 0.474
Ga 0.651 0.125 0.026
Ga 0.875 0.901 0.526
Os 0.000 0.000 0.000
Os 0.750 0.250 0.500
Se 0.250 0.750 0.500
Se 0.500 0.500 0.000
CELL_PARAMETERS angstrom
-2.905 2.905 5.749
2.905 -2.905 5.749
2.905 2.905 -5.749

***

[16]
! Pm2HF8 | Alexandria | PBE-GGA | relaxed; values from VASP
! - ΔE to the lowest computed polymorph: 0.00 eV per formula unit
&SYSTEM
  ibrav = 0, nat = 11, ntyp = 3
/
ATOMIC_SPECIES
Pm 145.00 Pm.upf
H 1.01 H.upf
F 19.00 F.upf
ATOMIC_POSITIONS crystal
Pm 0.220 0.220 0.000
Pm 0.780 0.780 0.000
H 0.500 0.000 0.500
F 0.018 0.324 0.695
F 0.140 0.000 0.140
F 0.371 0.676 0.695
F 0.390 0.890 0.500
F 0.610 0.110 0.500
F 0.629 0.324 0.305
F 0.860 0.000 0.860
F 0.982 0.676 0.305
CELL_PARAMETERS angstrom
-1.943 3.456 5.227
1.943 -3.456 5.227
1.943 3.456 -5.227

***

[17]
! MgAl3Cu | Alexandria | PBE-GGA | relaxed; values from VASP
! - ΔE to the lowest computed polymorph: 0.11 eV per formula unit
&SYSTEM
  ibrav = 0, nat = 10, ntyp = 3
/
ATOMIC_SPECIES
Mg 24.30 Mg.upf
Al 26.98 Al.upf
Cu 63.55 Cu.upf
ATOMIC_POSITIONS crystal
Mg 0.155 0.250 0.163
Mg 0.845 0.750 0.837
Al 0.088 0.250 0.648
Al 0.325 0.750 0.918
Al 0.332 0.750 0.497
Al 0.668 0.250 0.503
Al 0.675 0.250 0.082
Al 0.912 0.750 0.352
Cu 0.495 0.250 0.750
Cu 0.505 0.750 0.250
CELL_PARAMETERS angstrom
6.924 0.000 0.000
0.000 3.158 0.000
-2.446 0.000 7.591

***

[18]
! Zn3Cu4Au2 | Alexandria | PBE-GGA | relaxed; values from VASP
! - ΔE to the lowest computed polymorph: 0.28 eV per formula unit
&SYSTEM
  ibrav = 0, nat = 18, ntyp = 3
/
ATOMIC_SPECIES
Zn 65.41 Zn.upf
Cu 63.55 Cu.upf
Au 196.97 Au.upf
ATOMIC_POSITIONS crystal
Zn 0.157 0.843 0.750
Zn 0.202 0.467 0.398
Zn 0.467 0.202 0.898
Zn 0.533 0.798 0.102
Zn 0.798 0.533 0.602
Zn 0.843 0.157 0.250
Cu 0.141 0.143 0.058
Cu 0.143 0.141 0.558
Cu 0.338 0.453 0.911
Cu 0.453 0.338 0.411
Cu 0.547 0.662 0.589
Cu 0.662 0.547 0.089
Cu 0.857 0.859 0.442
Cu 0.859 0.857 0.942
Au 0.024 0.656 0.197
Au 0.344 0.976 0.303
Au 0.656 0.024 0.697
Au 0.976 0.344 0.803
CELL_PARAMETERS angstrom
4.522 -6.532 0.000
4.522 6.532 0.000
-0.921 0.000 4.648

***

[19]
! ZnNi2I | Alexandria | PBE-GGA | relaxed; values from VASP
! - ΔE to the lowest computed polymorph: 0.05 eV per formula unit
! - Uncorrected formation energy: 0.473 eV per atom
&SYSTEM
  ibrav = 0, nat = 4, ntyp = 3
/
ATOMIC_SPECIES
Zn 65.41 Zn.upf
Ni 58.69 Ni.upf
I 126.90 I.upf
ATOMIC_POSITIONS crystal
Zn 0.000 0.000 0.000
Ni 0.250 0.250 0.250
Ni 0.750 0.750 0.750
I 0.500 0.500 0.500
CELL_PARAMETERS angstrom
0.000 3.144 3.144
3.144 0.000 3.144
3.144 3.144 0.000

***

[20]
! DyAlCdAg | Alexandria | PBE-GGA | relaxed; values from VASP
! - E_tot: -3.29 eV per atom
&SYSTEM
  ibrav = 0, nat = 4, ntyp = 4
/
ATOMIC_SPECIES
Dy 162.50 Dy.upf
Al 26.98 Al.upf
Cd 112.41 Cd.upf
Ag 107.87 Ag.upf
ATOMIC_POSITIONS crystal
Dy 0.000 0.000 0.000
Al 0.500 0.500 0.500
Cd 0.250 0.250 0.250
Ag 0.750 0.750 0.750
CELL_PARAMETERS angstrom
0.000 3.464 3.464
3.464 0.000 3.464
3.464 3.464 0.000

***

[21]
! CsNdPbF6 | Alexandria | PBE-GGA | relaxed; values from VASP
! - Uncorrected formation energy: -3.163 eV per atom
&SYSTEM
  ibrav = 0, nat = 18, ntyp = 4
/
ATOMIC_SPECIES
Cs 132.91 Cs.upf
Nd 144.24 Nd.upf
Pb 207.20 Pb.upf
F 19.00 F.upf
ATOMIC_POSITIONS crystal
Cs 0.321 0.071 0.250
Cs 0.679 0.929 0.750
Nd 0.000 0.500 0.500
Nd 0.500 0.500 0.000
Pb 0.000 0.000 0.500
Pb 0.000 0.500 0.000
F 0.071 0.424 0.257
F 0.071 0.814 0.647
F 0.092 0.842 0.250
F 0.300 0.550 0.750
F 0.334 0.186 0.757
F 0.334 0.576 0.147
F 0.666 0.424 0.853
F 0.666 0.814 0.243
F 0.700 0.450 0.250
F 0.908 0.158 0.750
F 0.929 0.186 0.353
F 0.929 0.576 0.743
CELL_PARAMETERS angstrom
-4.278 4.432 6.307
4.278 -4.432 6.307
4.278 4.432 -6.307

***

[22]
! TmZrZnRu | Alexandria | PBE-GGA | relaxed; values from VASP
! - E_tot: -6.28 eV per atom
&SYSTEM
  ibrav = 0, nat = 4, ntyp = 4
/
ATOMIC_SPECIES
Tm 168.93 Tm.upf
Zr 91.22 Zr.upf
Zn 65.41 Zn.upf
Ru 101.07 Ru.upf
ATOMIC_POSITIONS crystal
Tm 0.000 0.000 0.000
Zr 0.500 0.500 0.500
Zn 0.750 0.750 0.750
Ru 0.250 0.250 0.250
CELL_PARAMETERS angstrom
0.000 3.371 3.371
3.371 0.000 3.371
3.371 3.371 0.000